(1)
Density functional theory data (PBE-GGA) for an optimized crystal structure of Ba4MoRh.

Lattice parameters (Å, degrees): 6.8767 6.8767 6.8767 60.00 60.00 60.00
Closest atoms and distances in Å follow each position.
Fractional positions:
Ba (0.3756, 0.3756, 0.3756)  6 Ba 3.42-3.45
Ba (0.3756, 0.3756, 0.8733)  6 Ba 3.42-3.45
Ba (0.3756, 0.8733, 0.3756)  6 Ba 3.42-3.45
Ba (0.8733, 0.3756, 0.3756)  6 Ba 3.42-3.45
Mo (0.0000, 0.0000, 0.0000)  12 Ba 4.03, 4 Rh 4.21
Rh (0.7500, 0.7500, 0.7500)  12 Ba 4.03, 4 Mo 4.21

Calculated values
Energy relative to the elements: 8.1 eV/f.u.

***

(2)
Density functional theory data (PBE-GGA) for an optimized crystal structure of BaMo3Rh.

Lattice parameters (Å, degrees): 4.9123 4.9123 4.9123 90.00 90.00 90.00
Closest atoms and distances in Å follow each position.
Fractional positions:
Ba (0.0000, 0.0000, 0.0000)  12 Mo 3.47
Mo (0.0000, 0.5000, 0.5000)  2 Rh 2.46
Mo (0.5000, 0.0000, 0.5000)  2 Rh 2.46
Mo (0.5000, 0.5000, 0.0000)  2 Rh 2.46
Rh (0.5000, 0.5000, 0.5000)  6 Mo 2.46

Calculated values
Energy relative to the elements: 7.2 eV/f.u.
Offset from the most stable computed form: 0.000 eV per atom

***

(3)
Density functional theory data (PBE-GGA) for an optimized crystal structure of BaMoRh.

Lattice parameters (Å, degrees): 4.2990 4.4556 8.9346 87.26 88.79 85.13
Closest atoms and distances in Å follow each position.
Fractional positions:
Ba (0.2491, 0.2593, 0.3190)  3 Rh 3.30-3.46, 3 Mo 3.40-3.69
Ba (0.7509, 0.7407, 0.6810)  3 Rh 3.30-3.46, 3 Mo 3.40-3.69
Mo (0.2738, 0.7153, 0.0042)  4 Rh 2.47-2.75, 1 Mo 2.62
Mo (0.7262, 0.2847, 0.9958)  4 Rh 2.47-2.75, 1 Mo 2.62
Rh (0.2318, 0.1963, 0.8547)  4 Mo 2.47-2.75
Rh (0.7682, 0.8037, 0.1453)  4 Mo 2.47-2.75

Calculated values
Energy relative to the elements: 0.4 eV/f.u.
Offset from the most stable computed form: 0.000 eV per atom

***

(4)
Density functional theory data (PBE-GGA) for an optimized crystal structure of BaMo2Rh.

Lattice parameters (Å, degrees): 2.8900 2.8900 9.5708 90.00 90.00 90.00
Closest atoms and distances in Å follow each position.
Fractional positions:
Ba (0.0000, 0.0000, 0.0000)  4 Ba 2.89
Mo (0.5000, 0.5000, 0.3059)  4 Rh 2.76, 4 Mo 2.89
Mo (0.5000, 0.5000, 0.6941)  4 Rh 2.76, 4 Mo 2.89
Rh (0.0000, 0.0000, 0.5000)  8 Mo 2.76, 4 Rh 2.89

Calculated values
Energy relative to the elements: 3.3 eV/f.u.
Offset from the most stable computed form: 0.360 eV per atom

***

| no. | density of states at the Fermi level (states/eV/cell) |
| --- | --- |
| 1 | 7.5 |
| 2 | 5.9 |
| 3 | 6.0 |
| 4 | 5.9 |